Record 1
Below is La2YRh2 after structural relaxation, with properties calculated at the PBE level.

Properties
Raw total energy ... -6.776 eV per atom
Energy of formation from the pure elements ... -571 meV/atom

```
data_La2YRh2
_cell_length_a 9.2793
_cell_length_b 5.6942
_cell_length_c 10.4128
_cell_angle_alpha 90.00
_cell_angle_beta 90.00
_cell_angle_gamma 90.00
_symmetry_space_group_name_H-M 'P n m a'
_symmetry_Int_Tables_number 62
loop_
_symmetry_equiv_pos_as_xyz
'x,y,z'
'-x,-y,-z'
'-x+1/2,-y,z+1/2'
'x+1/2,y,-z+1/2'
'x+1/2,-y+1/2,-z+1/2'
'-x+1/2,y+1/2,z+1/2'
'-x,y+1/2,-z'
'x,-y+1/2,z'
loop_
_atom_site_label
_atom_site_fract_x
_atom_site_fract_y
_atom_site_fract_z
La1 0.0386 0.2500 0.1544
La2 0.1205 0.2500 0.5575
Y1 0.2458 0.2500 0.8559
Rh1 0.0553 0.7500 0.1511
Rh2 0.1418 0.7500 0.6001
```

Record 2
Below is LaYRh2 after structural relaxation, with properties calculated at the PBE level.

Properties
Raw total energy ... -6.845 eV per atom
Energy of formation from the pure elements ... -322 meV/atom

```
data_LaYRh2
_cell_length_a 6.8640
_cell_length_b 6.8640
_cell_length_c 6.8640
_cell_angle_alpha 90.00
_cell_angle_beta 90.00
_cell_angle_gamma 90.00
_symmetry_space_group_name_H-M 'F -4 3 m'
_symmetry_Int_Tables_number 216
_symmetry_space_group_name_Hall 'F -4 2 3'
loop_
_atom_site_label
_atom_site_fract_x
_atom_site_fract_y
_atom_site_fract_z
La1 0.0000 0.0000 0.0000
Y1 0.2500 0.2500 0.7500
Rh1 0.0000 0.0000 0.5000
Rh2 0.2500 0.2500 0.2500
```

Record 3
Below is LaYRh2 after structural relaxation, with properties calculated at the PBE level.

Properties
Raw total energy ... -7.249 eV per atom
Energy of formation from the pure elements ... -726 meV/atom

```
data_LaYRh2
_cell_length_a 5.0470
_cell_length_b 5.0470
_cell_length_c 3.4130
_cell_angle_alpha 90.00
_cell_angle_beta 90.00
_cell_angle_gamma 90.00
_symmetry_space_group_name_H-M 'P 4/m m m'
_symmetry_Int_Tables_number 123
_symmetry_space_group_name_Hall '-P 4 2'
loop_
_atom_site_label
_atom_site_fract_x
_atom_site_fract_y
_atom_site_fract_z
La1 0.0000 0.0000 0.0000
Y1 0.5000 0.5000 0.0000
Rh1 0.0000 0.5000 0.5000
```